DFT (PBE) results for an optimized crystal structure of Ca2FeTe.

It has space group F-43m (No. 216), with a = 7.3996 Å, b = 7.3996 Å, c = 7.3996 Å, α = 90.00°, β = 90.00° and γ = 90.00°. The asymmetric unit holds Ca at (0.0000, 0.0000, 0.0000), Ca at (0.2500, 0.2500, 0.2500), Fe at (0.0000, 0.0000, 0.5000) and Te at (0.2500, 0.2500, 0.7500).

The calculation puts the density of states at the Fermi level at 1.783 states/eV per atom. For the raw formation energy, the calculation gives 0.164 eV per atom. For the spin magnetization, the calculation gives 2.456 μB/f.u. The value obtained for the offset from the most stable computed form is 0.527 eV per atom. For the calculated total energy, the calculation gives -3.738 eV/atom.